NiSb3 | GGA-PBE | optimized geometry

a b c (Å): 6.815 3.957 7.302
angles (deg): 90.00 108.60 90.00
Space group C2/m (No. 12)
Asymmetric unit:
Ni 0.000 0.000 0.000 x2
Sb 0.000 0.500 0.500 x2
Sb 0.231 0.500 0.190 x4

The calculation puts the density of states at the Fermi level at 2.49 states/eV/f.u. For the energy above the most stable polymorph in this dataset, the calculation gives 174 meV/atom. The calculation puts the calculated density at 7.54 g/cm3. As for the uncorrected formation energy: 0.027 eV per atom. The calculation puts the electronic total energy at -4.51 eV per atom.

NiSb3 | GGA-PBE | optimized geometry

a b c (Å): 9.247 9.247 9.247
angles (deg): 90.00 90.00 90.00
Space group Im-3 (No. 204)
Asymmetric unit:
Ni 0.250 0.250 0.250 x8
Sb 0.000 0.159 0.338 x24

The calculation puts the density of states at the Fermi level at 2.27 states/eV/f.u. For the energy above the most stable polymorph in this dataset, the calculation gives 0 meV/atom. The calculation puts the calculated density at 7.12 g/cm3. As for the uncorrected formation energy: -0.147 eV per atom. The calculation puts the electronic total energy at -4.68 eV per atom.